<one>
The following is a GGA-PBE calculation of crystalline La5NdDy at its relaxed geometry, from the Alexandria database.

Results
symmetry	C2/c (15)
crystal system	monoclinic
total moment	0.0	μB per cell

Lattice parameters (Å, degrees): 6.3093 9.4730 9.2093 86.11 78.25 70.55
Closest atoms and distances in Å follow each position.
Fractional positions:
La 0.3901 0.6285 0.8512  7 La 3.38-3.72, 1 Dy 3.67, 1 Nd 3.72
La 0.4551 0.3053 0.5351  4 La 3.38-3.56, 1 Dy 3.51, 1 Nd 3.65
La 0.0186 0.3715 0.3512  7 La 3.38-3.72, 1 Dy 3.67, 1 Nd 3.72
La 0.8583 0.2833 0.7500  2 Nd 3.42, 6 La 3.47-3.72
La 0.2396 0.3053 0.9649  4 La 3.38-3.56, 1 Dy 3.51, 1 Nd 3.65
La 0.7604 0.6947 0.0351  4 La 3.38-3.56, 1 Dy 3.51, 1 Nd 3.65
La 0.1417 0.7167 0.2500  2 Nd 3.42, 6 La 3.47-3.72
La 0.9814 0.6285 0.6488  7 La 3.38-3.72, 1 Dy 3.67, 1 Nd 3.72
La 0.5449 0.6947 0.4649  4 La 3.38-3.56, 1 Dy 3.51, 1 Nd 3.65
La 0.6099 0.3715 0.1488  7 La 3.38-3.72, 1 Dy 3.67, 1 Nd 3.72
Nd 0.0000 0.0000 0.0000  6 La 3.42-3.72, 2 Dy 3.51
Nd 0.0000 0.0000 0.5000  6 La 3.42-3.72, 2 Dy 3.51
Dy 0.5102 0.9796 0.7500  6 La 3.51-3.82, 2 Nd 3.51
Dy 0.4898 0.0204 0.2500  6 La 3.51-3.82, 2 Nd 3.51

---

<two>
The following is a GGA-PBE calculation of crystalline La5NdDy at its relaxed geometry, from the Alexandria database.

Results
symmetry	C2/c (15)
crystal system	monoclinic
total moment	0.0	μB per cell

Lattice parameters (Å, degrees): 9.6463 9.6463 13.5979 41.91 41.91 41.36
Closest atoms and distances in Å follow each position.
Fractional positions:
La 0.6674 0.6637 0.2597  5 La 3.38-3.74, 1 Nd 3.57
La 0.2562 0.2497 0.5869  6 La 3.38-3.74, 2 Nd 3.40-3.49, 1 Dy 3.41
La 0.6637 0.6674 0.7597  5 La 3.38-3.74, 1 Nd 3.57
La 0.2346 0.7654 0.2500  1 Nd 3.20, 4 La 3.42-3.50
La 0.7503 0.7438 0.9131  6 La 3.38-3.74, 2 Nd 3.40-3.49, 1 Dy 3.41
La 0.2497 0.2562 0.0869  6 La 3.38-3.74, 2 Nd 3.40-3.49, 1 Dy 3.41
La 0.7654 0.2346 0.7500  1 Nd 3.20, 4 La 3.42-3.50
La 0.3363 0.3326 0.2403  5 La 3.38-3.74, 1 Nd 3.57
La 0.7438 0.7503 0.4131  6 La 3.38-3.74, 2 Nd 3.40-3.49, 1 Dy 3.41
La 0.3326 0.3363 0.7403  5 La 3.38-3.74, 1 Nd 3.57
Nd 0.7643 0.2357 0.2500  7 La 3.20-3.57
Nd 0.2357 0.7643 0.7500  7 La 3.20-3.57
Dy 0.0000 0.0000 0.0000  4 La 3.41-3.76, 2 Nd 3.76
Dy 0.0000 0.0000 0.5000  4 La 3.41-3.76, 2 Nd 3.76

---

Name the least stable of them. <one>.

---

<one>
The following is a GGA-PBE calculation of crystalline La7Nd2Dy2 at its relaxed geometry, from the Alexandria database.

Results
symmetry	C2/m (12)
crystal system	monoclinic
total moment	0.0	μB per cell

Lattice parameters (Å, degrees): 6.2445 8.2372 8.2372 90.04 105.06 105.06
Closest atoms and distances in Å follow each position.
Fractional positions:
La 0.1802 0.9528 0.4163  2 La 3.18-3.38, 1 Nd 3.43, 2 Dy 3.44-3.53
La 0.8198 0.5837 0.0472  2 La 3.18-3.38, 1 Nd 3.43, 2 Dy 3.44-3.53
La 0.8198 0.0472 0.5837  2 La 3.18-3.38, 1 Nd 3.43, 2 Dy 3.44-3.53
La 0.1802 0.4163 0.9528  2 La 3.18-3.38, 1 Nd 3.43, 2 Dy 3.44-3.53
La 0.0000 0.0000 0.0000  4 La 3.38, 2 Nd 3.68
La 0.8019 0.5752 0.5752  6 La 3.52-3.86, 2 Nd 3.63-3.77, 2 Dy 3.77
La 0.1981 0.4248 0.4248  6 La 3.52-3.86, 2 Nd 3.63-3.77, 2 Dy 3.77
Nd 0.5934 0.2271 0.2271  7 La 3.43-3.77, 2 Dy 3.52
Nd 0.4066 0.7729 0.7729  7 La 3.43-3.77, 2 Dy 3.52
Dy 0.5000 0.2140 0.7860  6 La 3.44-3.77, 2 Nd 3.52
Dy 0.5000 0.7860 0.2140  6 La 3.44-3.77, 2 Nd 3.52

---

<two>
The following is a GGA-PBE calculation of crystalline La7Nd2Dy2 at its relaxed geometry, from the Alexandria database.

Results
symmetry	C2/m (12)
crystal system	monoclinic
total moment	0.0	μB per cell

Lattice parameters (Å, degrees): 10.9287 3.7514 10.9287 76.39 113.30 103.61
Closest atoms and distances in Å follow each position.
Fractional positions:
La 0.4132 0.1529 0.0849  2 Dy 3.29-3.59, 3 La 3.47-3.63, 2 Nd 3.54-3.68
La 0.0849 0.8471 0.4132  2 Dy 3.29-3.59, 3 La 3.47-3.63, 2 Nd 3.54-3.68
La 0.5868 0.8471 0.9151  2 Dy 3.29-3.59, 3 La 3.47-3.63, 2 Nd 3.54-3.68
La 0.9151 0.1529 0.5868  2 Dy 3.29-3.59, 3 La 3.47-3.63, 2 Nd 3.54-3.68
La 0.6013 0.4533 0.3987  5 La 3.52-3.81, 2 Dy 3.54, 2 Nd 3.81-3.94
La 0.0000 0.0000 0.0000  4 Dy 3.56, 2 La 3.75
La 0.3987 0.5467 0.6013  5 La 3.52-3.81, 2 Dy 3.54, 2 Nd 3.81-3.94
Nd 0.2055 0.7466 0.7945  8 La 3.54-3.94, 2 Nd 3.75
Nd 0.7945 0.2534 0.2055  8 La 3.54-3.94, 2 Nd 3.75
Dy 0.7485 0.5000 0.7485  8 La 3.29-3.59
Dy 0.2515 0.5000 0.2515  8 La 3.29-3.59

---

Name the least stable of them. <one>.

---

<one>
The following is a GGA-PBE calculation of crystalline La6Nd3Dy at its relaxed geometry, from the Alexandria database.

Results
symmetry	C2/m (12)
crystal system	monoclinic
total moment	0.0	μB per cell

Lattice parameters (Å, degrees): 7.2820 12.8381 6.7592 127.71 122.59 90.00
Closest atoms and distances in Å follow each position.
Fractional positions:
La 0.2765 0.3063 0.1086  1 Nd 3.20, 4 La 3.24-3.55
La 0.1678 0.6937 0.8914  1 Nd 3.19, 4 La 3.24-3.55
La 0.7235 0.6937 0.8914  1 Nd 3.20, 4 La 3.24-3.55
La 0.8322 0.3063 0.1086  1 Nd 3.19, 4 La 3.24-3.55
La 0.3335 0.9916 0.6671  2 Nd 3.39-3.73, 5 La 3.46-3.64
La 0.6665 0.0084 0.3329  2 Nd 3.39-3.73, 5 La 3.46-3.64
Nd 0.8019 0.3462 0.6038  1 Nd 3.17, 3 La 3.19-3.39
Nd 0.1981 0.6538 0.3962  1 Nd 3.17, 3 La 3.19-3.39
Nd 0.0000 0.0000 0.0000  10 La 3.86-4.07
Dy 0.5000 0.5000 0.0000  4 La 3.59, 4 Nd 3.97

---

<two>
The following is a GGA-PBE calculation of crystalline La6Nd3Dy at its relaxed geometry, from the Alexandria database.

Results
symmetry	Cmc2_1 (36)
crystal system	orthorhombic
total moment	0.0	μB per cell

Lattice parameters (Å, degrees): 6.6529 11.2514 11.2514 121.65 90.00 90.00
Closest atoms and distances in Å follow each position.
Fractional positions:
La 0.0576 0.7134 0.6337  3 Nd 3.53-3.60, 5 La 3.56-3.83
La 0.5576 0.6337 0.7134  3 Nd 3.53-3.60, 5 La 3.56-3.83
La 0.3702 0.5148 0.9294  1 La 3.12, 1 Nd 3.40, 1 Dy 3.45
La 0.8702 0.9294 0.5148  1 La 3.12, 1 Nd 3.40, 1 Dy 3.45
La 0.3540 0.9688 0.0312  1 Dy 3.50, 4 La 3.54-3.83, 4 Nd 3.60-3.66
La 0.6609 0.2817 0.7183  2 La 3.12, 1 Nd 3.45
La 0.1609 0.7183 0.2817  2 La 3.12, 1 Nd 3.45
La 0.8540 0.0312 0.9688  1 Dy 3.50, 4 La 3.54-3.83, 4 Nd 3.60-3.66
La 0.3702 0.0706 0.4852  1 La 3.12, 1 Nd 3.40, 1 Dy 3.45
La 0.8702 0.4852 0.0706  1 La 3.12, 1 Nd 3.40, 1 Dy 3.45
La 0.0576 0.3663 0.2866  3 Nd 3.53-3.60, 5 La 3.56-3.83
La 0.5576 0.2866 0.3663  3 Nd 3.53-3.60, 5 La 3.56-3.83
Nd 0.4640 0.9433 0.7052  1 Dy 3.34, 6 La 3.40-3.66, 1 Nd 3.64
Nd 0.9640 0.7052 0.9433  1 Dy 3.34, 6 La 3.40-3.66, 1 Nd 3.64
Nd 0.0808 0.3844 0.6156  5 La 3.45-3.60, 2 Nd 3.64
Nd 0.5808 0.6156 0.3844  5 La 3.45-3.60, 2 Nd 3.64
Nd 0.9640 0.0567 0.2948  1 Dy 3.34, 6 La 3.40-3.66, 1 Nd 3.64
Nd 0.4640 0.2948 0.0567  1 Dy 3.34, 6 La 3.40-3.66, 1 Nd 3.64
Dy 0.1062 0.1873 0.8127  2 Nd 3.34, 6 La 3.45-3.65
Dy 0.6062 0.8127 0.1873  2 Nd 3.34, 6 La 3.45-3.65

---

Name the least stable of them. <one>.

---

<one>
The following is a GGA-PBE calculation of crystalline LaNd3Dy2 at its relaxed geometry, from the Alexandria database.

Results
symmetry	C2/c (15)
crystal system	monoclinic
total moment	0.0	μB per cell

Lattice parameters (Å, degrees): 6.7782 6.7782 11.5608 64.75 64.75 63.26
Closest atoms and distances in Å follow each position.
Fractional positions:
La 0.2552 0.7448 0.2500  8 Nd 3.49-3.81, 6 Dy 3.74-3.80
La 0.7448 0.2552 0.7500  8 Nd 3.49-3.81, 6 Dy 3.74-3.80
Nd 0.2535 0.7465 0.7500  2 La 3.49-3.62, 6 Dy 3.75-3.80, 6 Nd 3.76-3.79
Nd 0.7465 0.2535 0.2500  2 La 3.49-3.62, 6 Dy 3.75-3.80, 6 Nd 3.76-3.79
Nd 0.1637 0.1682 0.9159  1 Nd 3.32, 4 Dy 3.34-3.57
Nd 0.8318 0.8363 0.5841  1 Nd 3.32, 4 Dy 3.34-3.57
Nd 0.1682 0.1637 0.4159  1 Nd 3.32, 4 Dy 3.34-3.57
Nd 0.8363 0.8318 0.0841  1 Nd 3.32, 4 Dy 3.34-3.57
Dy 0.6663 0.6653 0.4185  1 Dy 3.31, 4 Nd 3.34-3.57
Dy 0.6653 0.6663 0.9185  1 Dy 3.31, 4 Nd 3.34-3.57
Dy 0.3347 0.3337 0.0815  1 Dy 3.31, 4 Nd 3.34-3.57
Dy 0.3337 0.3347 0.5815  1 Dy 3.31, 4 Nd 3.34-3.57

---

<two>
The following is a GGA-PBE calculation of crystalline LaNd3Dy2 at its relaxed geometry, from the Alexandria database.

Results
symmetry	Immm (71)
crystal system	orthorhombic
total moment	0.0	μB per cell

Lattice parameters (Å, degrees): 3.5094 6.0130 10.5333 106.58 99.59 90.00
Closest atoms and distances in Å follow each position.
Fractional positions:
La 0.0000 0.0000 0.0000  2 Nd 3.01
Nd 0.0000 0.5000 0.0000  2 La 3.01, 4 Dy 3.26
Nd 0.8081 0.8081 0.6162  5 Dy 3.38-3.64, 2 Nd 3.51
Nd 0.1919 0.1919 0.3838  5 Dy 3.38-3.64, 2 Nd 3.51
Dy 0.6380 0.6380 0.2760  7 Nd 3.26-3.64, 2 Dy 3.51
Dy 0.3620 0.3620 0.7240  7 Nd 3.26-3.64, 2 Dy 3.51

---

Name the least stable of them. <two>.

---

<one>
The following is a GGA-PBE calculation of crystalline La3Nd2Dy3 at its relaxed geometry, from the Alexandria database.

Results
symmetry	Immm (71)
crystal system	orthorhombic
total moment	0.0	μB per cell

Lattice parameters (Å, degrees): 5.1128 5.1879 11.0198 103.61 103.41 90.00
Closest atoms and distances in Å follow each position.
Fractional positions:
La 0.6225 0.6225 0.2449  6 Dy 3.61-3.64, 2 La 3.64, 4 Nd 3.69-3.70
La 0.3775 0.3775 0.7551  6 Dy 3.61-3.64, 2 La 3.64, 4 Nd 3.69-3.70
La 0.5000 0.0000 0.0000  4 La 3.64, 8 Dy 3.64-3.66
Nd 0.7489 0.2489 0.4978  4 Dy 3.62-3.68, 4 Nd 3.64, 4 La 3.69-3.70
Nd 0.2511 0.7511 0.5022  4 Dy 3.62-3.68, 4 Nd 3.64, 4 La 3.69-3.70
Dy 0.1259 0.1259 0.2519  4 Nd 3.62-3.68, 6 La 3.64-3.66, 2 Dy 3.69
Dy 0.0000 0.5000 0.0000  8 La 3.61-3.64, 4 Dy 3.69
Dy 0.8741 0.8741 0.7481  4 Nd 3.62-3.68, 6 La 3.64-3.66, 2 Dy 3.69

---

<two>
The following is a GGA-PBE calculation of crystalline La3Nd2Dy3 at its relaxed geometry, from the Alexandria database.

Results
symmetry	C2/m (12)
crystal system	monoclinic
total moment	0.0	μB per cell

Lattice parameters (Å, degrees): 5.9095 6.1204 8.8269 110.72 109.56 90.00
Closest atoms and distances in Å follow each position.
Fractional positions:
La 0.3645 0.9243 0.7291  1 La 3.40, 4 Nd 3.49-3.59, 3 Dy 3.62-3.64
La 0.5000 0.5000 0.0000  2 La 3.40, 4 Dy 3.58
La 0.6355 0.0757 0.2709  1 La 3.40, 4 Nd 3.49-3.59, 3 Dy 3.62-3.64
Nd 0.7508 0.6834 0.5016  5 Dy 3.48-3.86, 5 La 3.49-3.89, 2 Nd 3.71
Nd 0.2492 0.3166 0.4984  5 Dy 3.48-3.86, 5 La 3.49-3.89, 2 Nd 3.71
Dy 0.8705 0.3229 0.7411  1 Dy 3.43, 4 Nd 3.48-3.66, 5 La 3.58-3.81
Dy 0.1295 0.6771 0.2589  1 Dy 3.43, 4 Nd 3.48-3.66, 5 La 3.58-3.81
Dy 0.0000 0.0000 0.0000  2 Dy 3.43, 4 La 3.64

---

Name the least stable of them. <two>.